No. 1
# Na4VHO5

Crystalline Na4VHO5 at its relaxed geometry (PBEsol, the Alexandria database).

abc: 8.965 7.431 8.251
angles: 90.00 90.00 90.00
Sites, in units of the cell vectors:
Na  0.000  0.000  0.000
Na  0.000  0.500  0.000
Na  0.127  0.250  0.257
Na  0.128  0.513  0.653
Na  0.128  0.987  0.653
Na  0.372  0.013  0.153
Na  0.372  0.487  0.153
Na  0.373  0.750  0.757
Na  0.500  0.000  0.500
Na  0.500  0.500  0.500
Na  0.627  0.250  0.243
Na  0.628  0.513  0.847
Na  0.628  0.987  0.847
Na  0.872  0.013  0.347
Na  0.872  0.487  0.347
Na  0.873  0.750  0.743
V  0.138  0.750  0.351
V  0.362  0.250  0.851
V  0.638  0.750  0.149
V  0.862  0.250  0.649
H  0.168  0.750  0.951
H  0.332  0.250  0.451
H  0.668  0.750  0.549
H  0.832  0.250  0.049
O  0.016  0.250  0.521
O  0.118  0.750  0.846
O  0.130  0.560  0.233
O  0.130  0.940  0.233
O  0.206  0.250  0.969
O  0.294  0.750  0.469
O  0.370  0.060  0.733
O  0.370  0.440  0.733
O  0.382  0.250  0.346
O  0.484  0.750  0.021
O  0.516  0.250  0.979
O  0.618  0.750  0.654
O  0.630  0.560  0.267
O  0.630  0.940  0.267
O  0.706  0.250  0.531
O  0.794  0.750  0.031
O  0.870  0.060  0.767
O  0.870  0.440  0.767
O  0.882  0.250  0.154
O  0.984  0.750  0.479

Output
Crystal system: orthorhombic
Total energy, eV/atom: -5.99
V, A^3/atom: 12.49

No. 2
# Na3VH6O7

Crystalline Na3VH6O7 at its relaxed geometry (PBEsol, the Alexandria database).

abc: 5.503 5.503 5.503
angles: 99.83 99.83 99.83
Sites, in units of the cell vectors:
Na  0.018  0.212  0.770
Na  0.212  0.770  0.018
Na  0.770  0.018  0.212
V  0.585  0.585  0.585
H  0.103  0.475  0.345
H  0.202  0.840  0.512
H  0.345  0.103  0.475
H  0.475  0.345  0.103
H  0.512  0.202  0.840
H  0.840  0.512  0.202
O  0.173  0.985  0.427
O  0.281  0.592  0.629
O  0.427  0.173  0.985
O  0.592  0.629  0.281
O  0.629  0.281  0.592
O  0.804  0.804  0.804
O  0.985  0.427  0.173

Output
Crystal system: trigonal
Total energy, eV/atom: -5.73
V, A^3/atom: 9.31